Here is crystalline Mo3Ir5 at its relaxed geometry from Alexandria. Energies are from PBEsol. Values from VASP.

```
&SYSTEM
  ibrav = 0, nat = 8, ntyp = 2
/
ATOMIC_SPECIES
Mo 95.94 Mo.upf
Ir 192.22 Ir.upf
CELL_PARAMETERS angstrom
3.850 -3.865 0.000
3.850 3.865 0.000
0.000 0.000 3.865
ATOMIC_POSITIONS crystal
Mo 0.000 0.000 0.000
Mo 0.249 0.249 0.500
Mo 0.751 0.751 0.500
Ir 0.000 0.500 0.000
Ir 0.248 0.752 0.500
Ir 0.500 0.000 0.000
Ir 0.500 0.500 0.000
Ir 0.752 0.248 0.500
```

Values from the calculation:
Its density is 18030 kg/m³. The total energy is -10.83 eV/atom. The formation energy comes out at -0.275 eV/atom.

Here is crystalline RbZn3Au at its relaxed geometry from Alexandria. Energies are from PBEsol. Values from VASP.

```
&SYSTEM
  ibrav = 0, nat = 5, ntyp = 3
/
ATOMIC_SPECIES
Rb 85.47 Rb.upf
Zn 65.41 Zn.upf
Au 196.97 Au.upf
CELL_PARAMETERS angstrom
4.954 0.000 0.000
0.000 4.954 0.000
0.000 0.000 4.954
ATOMIC_POSITIONS crystal
Rb 0.000 0.000 0.000
Zn 0.000 0.500 0.500
Zn 0.500 0.000 0.500
Zn 0.500 0.500 0.000
Au 0.500 0.500 0.500
```

Values from the calculation:
Its density is 6537 kg/m³. As for the distance to the lowest polymorph of the same formula: 0 meV per atom. The total energy is -1.94 eV/atom. The formation energy comes out at 0.003 eV/atom.

Here is crystalline Sr3SmRhO6 at its relaxed geometry from Alexandria. Energies are from PBEsol. Values from VASP.

```
&SYSTEM
  ibrav = 0, nat = 22, ntyp = 4
/
ATOMIC_SPECIES
Sr 87.62 Sr.upf
Sm 150.36 Sm.upf
Rh 102.91 Rh.upf
O 16.00 O.upf
CELL_PARAMETERS angstrom
4.872 2.813 3.797
-4.872 2.813 3.797
0.000 -5.626 3.797
ATOMIC_POSITIONS crystal
Sr 0.119 0.750 0.381
Sr 0.250 0.619 0.881
Sr 0.381 0.119 0.750
Sr 0.619 0.881 0.250
Sr 0.750 0.381 0.119
Sr 0.881 0.250 0.619
Sm 0.250 0.250 0.250
Sm 0.750 0.750 0.750
Rh 0.000 0.000 0.000
Rh 0.500 0.500 0.500
O 0.050 0.914 0.709
O 0.086 0.291 0.950
O 0.209 0.414 0.550
O 0.291 0.950 0.086
O 0.414 0.550 0.209
O 0.450 0.791 0.586
O 0.550 0.209 0.414
O 0.586 0.450 0.791
O 0.709 0.050 0.914
O 0.791 0.586 0.450
O 0.914 0.709 0.050
O 0.950 0.086 0.291
```

Values from the calculation:
Its density is 6510 kg/m³. The total energy is -7.13 eV/atom. For the formation energy from raw total energies, the calculation gives -2566 meV per atom.

Here is crystalline CaTcSbI2 at its relaxed geometry from Alexandria. Energies are from PBEsol. Values from VASP.

```
&SYSTEM
  ibrav = 0, nat = 5, ntyp = 4
/
ATOMIC_SPECIES
Ca 40.08 Ca.upf
Tc 98.00 Tc.upf
Sb 121.76 Sb.upf
I 126.90 I.upf
CELL_PARAMETERS angstrom
5.488 0.000 0.000
0.000 5.488 0.000
0.000 0.000 5.044
ATOMIC_POSITIONS crystal
Ca 0.000 0.000 0.000
Tc 0.500 0.500 0.500
Sb 0.500 0.500 0.000
I 0.000 0.500 0.500
I 0.500 0.000 0.500
```

Values from the calculation:
Its density is 5614 kg/m³. The total energy is -4.25 eV/atom. For the formation energy from raw total energies, the calculation gives 46 meV per atom.

Here is crystalline TbGa2Ag at its relaxed geometry from Alexandria. Energies are from PBEsol. Values from VASP.

```
&SYSTEM
  ibrav = 0, nat = 16, ntyp = 3
/
ATOMIC_SPECIES
Tb 158.93 Tb.upf
Ga 69.72 Ga.upf
Ag 107.87 Ag.upf
CELL_PARAMETERS angstrom
6.850 0.000 0.000
0.000 4.300 0.000
0.000 0.000 10.065
ATOMIC_POSITIONS crystal
Tb 0.219 0.250 0.174
Tb 0.281 0.750 0.674
Tb 0.719 0.250 0.326
Tb 0.781 0.750 0.826
Ga 0.074 0.250 0.845
Ga 0.203 0.750 0.964
Ga 0.297 0.250 0.464
Ga 0.426 0.750 0.345
Ga 0.574 0.250 0.655
Ga 0.703 0.750 0.536
Ga 0.797 0.250 0.036
Ga 0.926 0.750 0.155
Ag 0.045 0.750 0.405
Ag 0.455 0.250 0.905
Ag 0.545 0.750 0.095
Ag 0.955 0.250 0.595
```

Values from the calculation:
Its density is 9102 kg/m³. The total energy is -4.32 eV/atom. The formation energy comes out at -0.573 eV/atom.

Here is crystalline CaTiNiP2O9 at its relaxed geometry from Alexandria. Energies are from PBEsol. Values from VASP.

```
&SYSTEM
  ibrav = 0, nat = 56, ntyp = 5
/
ATOMIC_SPECIES
Ca 40.08 Ca.upf
Ti 47.87 Ti.upf
Ni 58.69 Ni.upf
P 30.97 P.upf
O 16.00 O.upf
CELL_PARAMETERS angstrom
14.140 0.000 0.000
0.000 6.411 0.000
0.000 0.000 7.281
ATOMIC_POSITIONS crystal
Ca 0.215 0.250 0.114
Ca 0.285 0.750 0.614
Ca 0.715 0.250 0.386
Ca 0.785 0.750 0.886
Ti 0.119 0.250 0.655
Ti 0.381 0.750 0.155
Ti 0.619 0.250 0.845
Ti 0.881 0.750 0.345
Ni 0.000 0.000 0.000
Ni 0.000 0.500 0.000
Ni 0.500 0.000 0.500
Ni 0.500 0.500 0.500
P 0.066 0.750 0.644
P 0.188 0.750 0.112
P 0.312 0.250 0.612
P 0.434 0.250 0.144
P 0.566 0.750 0.856
P 0.688 0.750 0.388
P 0.812 0.250 0.888
P 0.934 0.250 0.356
O 0.011 0.250 0.502
O 0.021 0.750 0.835
O 0.061 0.250 0.868
O 0.128 0.550 0.115
O 0.128 0.950 0.115
O 0.133 0.560 0.623
O 0.133 0.940 0.623
O 0.238 0.250 0.454
O 0.245 0.250 0.786
O 0.255 0.750 0.286
O 0.262 0.750 0.954
O 0.367 0.060 0.123
O 0.367 0.440 0.123
O 0.372 0.050 0.615
O 0.372 0.450 0.615
O 0.439 0.750 0.368
O 0.479 0.250 0.335
O 0.489 0.750 0.002
O 0.511 0.250 0.998
O 0.521 0.750 0.665
O 0.561 0.250 0.632
O 0.628 0.550 0.385
O 0.628 0.950 0.385
O 0.633 0.560 0.877
O 0.633 0.940 0.877
O 0.738 0.250 0.046
O 0.745 0.250 0.714
O 0.755 0.750 0.214
O 0.762 0.750 0.546
O 0.867 0.060 0.377
O 0.867 0.440 0.377
O 0.872 0.050 0.885
O 0.872 0.450 0.885
O 0.939 0.750 0.132
O 0.979 0.250 0.165
O 0.989 0.750 0.498
```

Values from the calculation:
Its density is 3548 kg/m³. The total energy is -7.81 eV/atom. For the formation energy from raw total energies, the calculation gives -2426 meV per atom.